DFT (PBE) results for an optimized crystal structure of IrOsS2.

Unit cell a=6.3922 b=6.3922 c=6.3922 alpha=131.27 beta=131.27 gamma=71.38
Element x y z (fractional)
Ir 0.0000 0.0000 0.0000
Ir 0.7500 0.2500 0.5000
Os 0.2500 0.7500 0.5000
Os 0.5000 0.5000 0.0000
S 0.1311 0.6250 0.0061
S 0.3750 0.3811 0.5061
S 0.6189 0.1250 0.9939
S 0.8750 0.8689 0.4939

Calculated values
- Distance to the lowest polymorph of the same formula: 0.0 meV/atom
- VASP energy: -55.1 eV/cell
- Theoretical density: 10.27 g/cm³
- Formation energy (no corrections): 0.20 eV per atom